The following is a PBE-GGA calculation of an optimized crystal structure of AlMoPb2, from the Alexandria database.

- total energy (eV per formula unit) = -18.72
- formation energy (eV per atom) = 0.82
- symmetry = F-43m

a = 5.094 Å, b = 5.094 Å, c = 5.094 Å
α = 60.00°, β = 60.00°, γ = 60.00°
Element x y z (fractional)
1 Al 0.000 0.000 0.000
2 Mo 0.750 0.750 0.750
3 Pb 0.250 0.250 0.250
4 Pb 0.500 0.500 0.500

---

The following is a PBE-GGA calculation of an optimized crystal structure of Al2MoRuPb, from the Alexandria database.

- total energy (eV per formula unit) = -21.39
- formation energy (eV per atom) = 1.98
- symmetry = P4/mmm

a = 5.048 Å, b = 5.048 Å, c = 5.024 Å
α = 90.00°, β = 90.00°, γ = 90.00°
Element x y z (fractional)
1 Al 0.000 0.500 0.000
2 Al 0.500 0.000 0.000
3 Mo 0.000 0.000 0.500
4 Ru 0.500 0.500 0.500
5 Pb 0.500 0.500 0.000